No. 1
Here is a relaxed Ce2ZnPd3 crystal from the Alexandria database. Energies are from PBE.

Calculated values
Density of states at the Fermi level: 1.857 states/eV per atom
Energy relative to the elements: -0.6800 eV/atom
Crystal system: hexagonal
Calculated volume: 115.26 Å³/f.u.
Offset from the most stable computed form: 0.000 eV per atom
M_tot: 0.33 μB/atom

a b c (Å): 5.636 5.636 8.379
angles (deg): 90.00 90.00 120.00
Fractional coordinates of all 12 atoms:
Ce 0.333 0.667 0.070
Ce 0.333 0.667 0.430
Ce 0.667 0.333 0.570
Ce 0.667 0.333 0.930
Zn 0.000 0.000 0.000
Zn 0.000 0.000 0.500
Pd 0.168 0.337 0.750
Pd 0.168 0.832 0.750
Pd 0.337 0.168 0.250
Pd 0.663 0.832 0.750
Pd 0.832 0.168 0.250
Pd 0.832 0.663 0.250

---

No. 2
Here is a relaxed Tb2Pr3Nd5 crystal from the Alexandria database. Energies are from PBE.

Calculated values
Density of states at the Fermi level: 1.508 states/eV per atom
Energy relative to the elements: 0.2657 eV/atom
Crystal system: orthorhombic
Calculated volume: 354.99 Å³/f.u.
Offset from the most stable computed form: 0.107 eV per atom
M_tot: 0.00 μB/atom

a b c (Å): 11.166 11.166 11.166
angles (deg): 112.91 77.65 145.54
Fractional coordinates of all 20 atoms:
Tb 0.168 0.093 0.261
Tb 0.332 0.593 0.925
Tb 0.668 0.407 0.075
Tb 0.832 0.907 0.739
Pr 0.169 0.417 0.586
Pr 0.250 0.250 0.000
Pr 0.331 0.917 0.248
Pr 0.669 0.083 0.752
Pr 0.750 0.750 0.000
Pr 0.831 0.583 0.414
Nd 0.169 0.762 0.931
Nd 0.250 0.501 0.251
Nd 0.250 0.750 0.500
Nd 0.250 0.999 0.749
Nd 0.331 0.262 0.593
Nd 0.669 0.738 0.407
Nd 0.750 0.001 0.251
Nd 0.750 0.250 0.500
Nd 0.750 0.499 0.749
Nd 0.831 0.238 0.069

---

No. 3
Here is a relaxed LaPa2Ge crystal from the Alexandria database. Energies are from PBE.

Calculated values
Density of states at the Fermi level: 1.694 states/eV per atom
Energy relative to the elements: -0.1215 eV/atom
Crystal system: tetragonal
Calculated volume: 98.42 Å³/f.u.
Offset from the most stable computed form: 0.000 eV per atom
M_tot: 0.00 μB/atom

a b c (Å): 4.481 4.481 4.902
angles (deg): 90.00 90.00 90.00
Fractional coordinates of all 4 atoms:
La 0.000 0.000 0.000
Pa 0.000 0.500 0.500
Pa 0.500 0.000 0.500
Ge 0.500 0.500 0.000

---

No. 4
Here is a relaxed Ba6CuAu3 crystal from the Alexandria database. Energies are from PBE.

Calculated values
Density of states at the Fermi level: 0.847 states/eV per atom
Energy relative to the elements: -0.4133 eV/atom
Crystal system: monoclinic
Calculated volume: 425.95 Å³/f.u.
M_tot: 0.00 μB/atom

a b c (Å): 12.039 4.667 16.262
angles (deg): 90.00 111.21 90.00
Fractional coordinates of all 20 atoms:
Ba 0.010 0.250 0.114
Ba 0.065 0.750 0.410
Ba 0.259 0.250 0.820
Ba 0.342 0.250 0.600
Ba 0.346 0.250 0.325
Ba 0.374 0.750 0.096
Ba 0.626 0.250 0.904
Ba 0.654 0.750 0.675
Ba 0.658 0.750 0.400
Ba 0.741 0.750 0.180
Ba 0.935 0.250 0.590
Ba 0.990 0.750 0.886
Cu 0.417 0.750 0.758
Cu 0.583 0.250 0.242
Au 0.167 0.750 0.650
Au 0.177 0.250 0.994
Au 0.412 0.750 0.477
Au 0.588 0.250 0.523
Au 0.823 0.750 0.006
Au 0.833 0.250 0.350